Record 1
Here is a relaxed K3Ta2Ag3Se8 crystal from Alexandria. Energies are from PBEsol.

formation energy from raw total energies	-0.76	eV per atom
SG	C2/c, No. 15

Lattice parameters (Å, degrees): 6.006 12.822 13.801 65.32 77.43 76.45
Positions (direct):
Se (0.486, 0.938, 0.147)
Se (0.262, 0.536, 0.898)
Se (0.182, 0.692, 0.109)
Se (0.514, 0.062, 0.853)
Se (0.232, 0.359, 0.324)
Ag (0.327, 0.028, 0.715)
Se (0.983, 0.808, 0.391)
Se (0.768, 0.641, 0.676)
K (0.000, 0.500, 0.500)
K (0.000, 0.000, 0.000)
K (0.378, 0.286, 0.106)
Se (0.017, 0.192, 0.609)
Ag (0.673, 0.972, 0.285)
Se (0.304, 0.036, 0.398)
Se (0.914, 0.141, 0.176)
Se (0.738, 0.464, 0.102)
Se (0.818, 0.308, 0.891)
K (0.622, 0.714, 0.894)
Se (0.571, 0.562, 0.353)
Ag (0.297, 0.750, 0.250)
Se (0.086, 0.859, 0.824)
Ag (0.930, 0.528, 0.215)
Ta (0.570, 0.477, 0.779)
Ta (0.430, 0.523, 0.221)
Se (0.429, 0.438, 0.647)
K (0.230, 0.786, 0.606)
K (0.770, 0.214, 0.394)
Ta (0.826, 0.023, 0.721)
Ag (0.070, 0.472, 0.785)
Se (0.696, 0.964, 0.602)
Ag (0.703, 0.250, 0.750)
Ta (0.174, 0.977, 0.279)

=====

Record 2
Here is a relaxed K2TcAgSe crystal from Alexandria. Energies are from PBEsol.

formation energy from raw total energies	1.03	eV per atom
SG	P4/mmm, No. 123

Lattice parameters (Å, degrees): 4.748 6.261 6.261 90.00 90.00 90.00
Each line ends with the local moment (μB).
Positions (direct):
Tc (0.500, 0.500, 0.500)  3.67
Ag (0.000, 0.000, 0.000)  0.00
Se (0.500, 0.000, 0.000)  0.03
K (0.000, 0.000, 0.500)  0.00
K (0.000, 0.500, 0.000)  0.00

=====

Record 3
Here is a relaxed KSiAg2 crystal from Alexandria. Energies are from PBEsol.

formation energy from raw total energies	0.41	eV per atom
SG	R-3m, No. 166

Lattice parameters (Å, degrees): 3.052 3.052 10.052 81.27 81.27 60.00
Positions (direct):
K (0.500, 0.500, 0.500)
Si (0.000, 0.000, 0.000)
Ag (0.735, 0.735, 0.794)
Ag (0.265, 0.265, 0.206)

=====

Record 4
Here is a relaxed KSiAg2 crystal from Alexandria. Energies are from PBEsol.

formation energy from raw total energies	0.51	eV per atom
SG	F-43m, No. 216

Lattice parameters (Å, degrees): 4.854 4.854 4.854 60.00 60.00 60.00
Positions (direct):
Si (0.250, 0.250, 0.250)
Ag (0.750, 0.750, 0.750)
Ag (0.000, 0.000, 0.000)
K (0.500, 0.500, 0.500)

=====

Record 5
Here is a relaxed KSi2Ag2 crystal from Alexandria. Energies are from PBEsol.

formation energy from raw total energies	0.05	eV per atom
SG	I4/mmm, No. 139

Lattice parameters (Å, degrees): 4.498 4.498 5.873 112.51 112.51 90.00
Positions (direct):
Si (0.618, 0.618, 0.237)
K (0.000, 0.000, 0.000)
Si (0.382, 0.382, 0.763)
Ag (0.750, 0.250, 0.500)
Ag (0.250, 0.750, 0.500)

=====

Record 6
Here is a relaxed KSiAg2 crystal from Alexandria. Energies are from PBEsol.

formation energy from raw total energies	0.08	eV per atom
SG	Cm, No. 8

Lattice parameters (Å, degrees): 4.449 4.464 6.503 109.45 90.00 119.89
Positions (direct):
K (0.510, 0.020, 0.518)
Ag (0.688, 0.375, 0.068)
Si (0.320, 0.639, 0.962)
Ag (0.983, 0.966, 0.952)

=====

Record 7
Here is a relaxed KSiAg3 crystal from Alexandria. Energies are from PBEsol.

formation energy from raw total energies	0.09	eV per atom
SG	Pm-3m, No. 221

Lattice parameters (Å, degrees): 4.877 4.877 4.877 90.00 90.00 90.00
Positions (direct):
Ag (0.000, 0.500, 0.000)
K (0.500, 0.500, 0.500)
Ag (0.000, 0.000, 0.500)
Si (0.000, 0.000, 0.000)
Ag (0.500, 0.000, 0.000)

=====

Record 8
Here is a relaxed K2SiAgSn crystal from Alexandria. Energies are from PBEsol.

formation energy from raw total energies	0.38	eV per atom
SG	P4/mmm, No. 123

Lattice parameters (Å, degrees): 4.682 5.947 5.947 90.00 90.00 90.00
Positions (direct):
K (0.000, 0.500, 0.000)
Si (0.500, 0.000, 0.000)
Ag (0.000, 0.000, 0.000)
K (0.000, 0.000, 0.500)
Sn (0.500, 0.500, 0.500)

=====

Record 9
Here is a relaxed K2ZrSiAg crystal from Alexandria. Energies are from PBEsol.

formation energy from raw total energies	1.58	eV per atom
SG	P4/mmm, No. 123

Lattice parameters (Å, degrees): 5.102 6.315 6.315 90.00 90.00 90.00
Each line ends with the local moment (μB).
Positions (direct):
K (0.000, 0.000, 0.500)  0.04
Ag (0.500, 0.000, 0.000)  0.06
K (0.000, 0.500, 0.000)  0.04
Zr (0.000, 0.000, 0.000)  1.44
Si (0.500, 0.500, 0.500)  -0.43

=====

Record 10
Here is a relaxed KAg2Sn2 crystal from Alexandria. Energies are from PBEsol.

energy of formation	-87.1	meV/atom
SG	I4/mmm, No. 139

Lattice parameters (Å, degrees): 4.815 4.815 6.518 111.67 111.67 90.00
Positions (direct):
Ag (0.250, 0.750, 0.500)
Sn (0.371, 0.371, 0.741)
Ag (0.750, 0.250, 0.500)
Sn (0.629, 0.629, 0.259)
K (0.000, 0.000, 0.000)

=====

Record 11
Here is a relaxed K2TaAgSn crystal from Alexandria. Energies are from PBEsol.

energy of formation	1554.7	meV/atom
SG	P4/mmm, No. 123

Lattice parameters (Å, degrees): 5.018 6.294 6.294 90.00 90.00 90.00
Each line ends with the local moment (μB).
Positions (direct):
Ta (0.000, 0.000, 0.000)  1.92
Sn (0.500, 0.500, 0.500)  -0.28
K (0.000, 0.500, 0.000)  0.04
Ag (0.500, 0.000, 0.000)  0.09
K (0.000, 0.000, 0.500)  0.04

=====

Record 12
Here is a relaxed KTi2AgSn crystal from Alexandria. Energies are from PBEsol.

energy of formation	1026.9	meV/atom
SG	P4/mmm, No. 123

Lattice parameters (Å, degrees): 4.995 4.995 5.337 90.00 90.00 90.00
Each line ends with the local moment (μB).
Positions (direct):
Ag (0.000, 0.000, 0.000)  0.06
Sn (0.500, 0.500, 0.500)  -0.07
K (0.000, 0.000, 0.500)  0.01
Ti (0.000, 0.500, 0.000)  0.70
Ti (0.500, 0.000, 0.000)  0.70

=====

Record 13
Here is a relaxed KSrAg4 crystal from Alexandria. Energies are from PBEsol.

energy of formation	-63.5	meV/atom
SG	F-43m, No. 216

Lattice parameters (Å, degrees): 5.794 5.794 5.794 60.00 60.00 60.00
Positions (direct):
Ag (0.375, 0.875, 0.375)
Sr (0.000, 0.000, 0.000)
K (0.750, 0.750, 0.750)
Ag (0.875, 0.375, 0.375)
Ag (0.375, 0.375, 0.875)
Ag (0.375, 0.375, 0.375)

=====

Record 14
Here is a relaxed KSr4Ag crystal from Alexandria. Energies are from PBEsol.

energy of formation	445.1	meV/atom
SG	F-43m, No. 216

Lattice parameters (Å, degrees): 7.617 7.617 7.617 60.00 60.00 60.00
Positions (direct):
Sr (0.375, 0.375, 0.874)
K (0.000, 0.000, 0.000)
Sr (0.375, 0.874, 0.375)
Sr (0.375, 0.375, 0.375)
Sr (0.874, 0.375, 0.375)
Ag (0.750, 0.750, 0.750)

=====

Record 15
Here is a relaxed KSrAg2 crystal from Alexandria. Energies are from PBEsol.

energy of formation	131.3	meV/atom
SG	R-3m, No. 166

Lattice parameters (Å, degrees): 4.331 4.331 8.870 75.87 75.87 60.00
Positions (direct):
Ag (0.743, 0.743, 0.771)
Sr (0.000, 0.000, 0.000)
K (0.500, 0.500, 0.500)
Ag (0.257, 0.257, 0.229)

=====

Record 16
Here is a relaxed KSr3Ag crystal from Alexandria. Energies are from PBEsol.

energy of formation	-41.5	meV/atom
SG	Pm-3m, No. 221

Lattice parameters (Å, degrees): 6.246 6.246 6.246 90.00 90.00 90.00
Positions (direct):
Sr (0.000, 0.500, 0.000)
K (0.500, 0.500, 0.500)
Sr (0.500, 0.000, 0.000)
Ag (0.000, 0.000, 0.000)
Sr (0.000, 0.000, 0.500)

=====

Record 17
Here is a relaxed K2SrAg crystal from Alexandria. Energies are from PBEsol.

energy of formation	219.1	meV/atom
SG	R-3m, No. 166

Lattice parameters (Å, degrees): 4.339 4.339 12.246 79.80 79.80 60.00
Positions (direct):
K (0.273, 0.273, 0.182)
Ag (0.000, 0.000, 0.000)
Sr (0.500, 0.500, 0.500)
K (0.727, 0.727, 0.818)

=====

Record 18
Here is a relaxed KSr2ZrAg crystal from Alexandria. Energies are from PBEsol.

energy of formation	1242.5	meV/atom
SG	P4/mmm, No. 123

Lattice parameters (Å, degrees): 5.075 5.896 5.896 90.00 90.00 90.00
Each line ends with the local moment (μB).
Positions (direct):
Zr (0.500, 0.500, 0.500)  0.95
K (0.000, 0.000, 0.000)  0.00
Sr (0.000, 0.500, 0.000)  0.05
Ag (0.500, 0.000, 0.000)  -0.01
Sr (0.000, 0.000, 0.500)  0.05

=====

Record 19
Here is a relaxed KTaAg3 crystal from Alexandria. Energies are from PBEsol.

energy of formation	2048.9	meV/atom
SG	Pm-3m, No. 221

Lattice parameters (Å, degrees): 4.945 4.945 4.945 90.00 90.00 90.00
Each line ends with the local moment (μB).
Positions (direct):
K (0.000, 0.000, 0.000)  -0.01
Ag (0.000, 0.500, 0.000)  0.01
Ag (0.000, 0.000, 0.500)  0.01
Ag (0.500, 0.000, 0.000)  0.01
Ta (0.500, 0.500, 0.500)  1.49

=====

Record 20
Here is a relaxed KTc2Ag crystal from Alexandria. Energies are from PBEsol.

energy of formation	1163.6	meV/atom
distance to the lowest polymorph of the same formula	0.036	eV per atom
SG	C2/m, No. 12

Lattice parameters (Å, degrees): 2.571 5.245 5.917 113.45 97.17 102.04
Positions (direct):
Tc (0.000, 0.000, 0.500)
Ag (0.500, 0.000, 0.000)
Tc (0.500, 0.500, 0.500)
K (0.000, 0.500, 0.000)

=====

The DOS at the Fermi energy results, record by record, are as follows: 0.0 5.4 1.6 2.2 2.0 2.1 0.7 2.9 4.8 2.4 6.2 7.8 2.8 8.0 1.7 3.8 2.5 6.7 2.7 3.6 states/eV/cell.